No. 1
First-principles (GGA-PBE) data for a relaxed Zn2CdRh2 crystal, as listed in Alexandria. Values from VASP.

## Properties
Calculated formation energy = 34 meV per atom
DFT total energy = -3.599 eV per atom
Size of the total moment = 0.00 μB/cell

Geometry as Quantum ESPRESSO input:
```
&SYSTEM
  ibrav = 0, nat = 5, ntyp = 3
/
ATOMIC_SPECIES
Rh 102.91 Rh.upf
Zn 65.41 Zn.upf
Cd 112.41 Cd.upf
CELL_PARAMETERS angstrom
-2.913 2.642 -2.262
-2.872 -3.491 -0.379
-4.712 0.678 2.311
ATOMIC_POSITIONS crystal
Rh 0.250 0.750 0.500
Rh 0.750 0.250 0.500
Zn 0.642 0.642 0.716
Zn 0.358 0.358 0.284
Cd 0.000 0.000 0.000
```

***

No. 2
First-principles (GGA-PBE) data for a relaxed TaMnRh2 crystal, as listed in Alexandria. Values from VASP.

## Properties
Calculated formation energy = -395 meV per atom
DFT total energy = -9.326 eV per atom
Size of the total moment = 7.73 μB/cell

Geometry as Quantum ESPRESSO input:
```
&SYSTEM
  ibrav = 0, nat = 8, ntyp = 3
/
ATOMIC_SPECIES
Mn 54.94 Mn.upf
Rh 102.91 Rh.upf
Ta 180.95 Ta.upf
CELL_PARAMETERS angstrom
-1.543 -3.094 -2.800
3.046 1.426 -3.253
3.890 -3.748 1.998
ATOMIC_POSITIONS crystal
Mn 0.500 0.709 0.500
Mn 0.000 0.291 0.000
Rh 0.500 0.197 0.752
Rh 0.000 0.803 0.748
Rh 0.000 0.803 0.252
Rh 0.500 0.197 0.248
Ta 0.500 0.694 0.000
Ta 0.000 0.306 0.500
```

***

No. 3
First-principles (GGA-PBE) data for a relaxed Sc4CO3 crystal, as listed in Alexandria. Values from VASP.

## Properties
DFT total energy = -8.536 eV per atom
Polymorph energy (0 for the lowest one) = 111 meV per atom
Size of the total moment = 0.00 μB/cell
ΔE_f (raw) = -2.358 eV/atom

Geometry as Quantum ESPRESSO input:
```
&SYSTEM
  ibrav = 0, nat = 16, ntyp = 3
/
ATOMIC_SPECIES
O 16.00 O.upf
Sc 44.96 Sc.upf
C 12.01 C.upf
CELL_PARAMETERS angstrom
4.528 0.000 0.000
0.000 6.452 0.000
0.000 0.000 7.468
ATOMIC_POSITIONS crystal
O 0.564 0.329 0.743
O 0.564 0.838 0.000
O 0.064 0.671 0.757
O 0.064 0.162 0.500
O 0.064 0.671 0.243
O 0.564 0.329 0.257
Sc 0.064 0.336 0.749
Sc 0.564 0.163 0.500
Sc 0.564 0.664 0.249
Sc 0.064 0.826 0.500
Sc 0.064 0.336 0.251
Sc 0.064 0.837 0.000
Sc 0.564 0.664 0.751
Sc 0.564 0.174 0.000
C 0.064 0.171 0.000
C 0.564 0.829 0.500
```

***

No. 4
First-principles (GGA-PBE) data for a relaxed Ba2In9Ir3 crystal, as listed in Alexandria. Values from VASP.

## Properties
Calculated formation energy = -281 meV per atom
DFT total energy = -4.215 eV per atom
Size of the total moment = 0.00 μB/cell

Geometry as Quantum ESPRESSO input:
```
&SYSTEM
  ibrav = 0, nat = 28, ntyp = 3
/
ATOMIC_SPECIES
In 114.82 In.upf
Ir 192.22 Ir.upf
Ba 137.33 Ba.upf
CELL_PARAMETERS angstrom
7.747 -0.042 -3.230
-4.569 7.041 -0.019
0.470 0.326 11.879
ATOMIC_POSITIONS crystal
In 0.212 0.521 0.570
In 0.788 0.479 0.430
In 0.547 0.082 0.251
In 0.463 0.814 0.448
In 0.549 0.358 0.070
In 0.134 0.985 0.948
In 0.453 0.918 0.749
In 0.537 0.186 0.552
In 0.451 0.642 0.930
In 0.331 0.295 0.249
In 0.790 0.310 0.933
In 0.669 0.705 0.751
In 0.114 0.864 0.250
In 0.210 0.690 0.067
In 0.866 0.015 0.052
In 0.123 0.143 0.433
In 0.877 0.857 0.567
In 0.886 0.136 0.750
Ir 0.500 0.500 0.500
Ir 0.837 0.168 0.499
Ir 0.163 0.832 0.501
Ir 0.170 0.338 0.001
Ir 0.830 0.662 0.999
Ir 0.500 0.000 0.000
Ba 0.998 0.586 0.749
Ba 0.002 0.414 0.251
Ba 0.337 0.248 0.751
Ba 0.663 0.752 0.249
```